CrCoRh: relaxed, PBE.

The structure in POSCAR format:
```
CrCoRh
1.0
2.606 0.000 0.000
-1.303 2.257 0.000
0.000 0.000 6.250
Cr Co Rh
1 1 1
Cartesian
0.000 0.000 0.000
0.000 1.505 4.320
1.303 0.752 2.106
```

Crystal system: trigonal
DOS(E_F): 2.90 states/eV per cell
Excess energy over the best structure of this formula in the dataset: 84 meV/atom
Size of the total moment: 0.449 μB/cell
SG: No. 156
Calculated formation energy: 0.076 eV per atom

=====

LaCu2NiOs: relaxed, PBE.

The structure in POSCAR format:
```
LaCu2NiOs
1.0
4.749 0.000 0.000
0.000 4.749 0.000
0.000 0.000 5.158
La Cu Ni Os
1 2 1 1
Cartesian
0.000 0.000 0.000
0.000 2.374 2.579
2.374 0.000 2.579
2.374 2.374 0.000
0.000 0.000 2.579
```

Crystal system: tetragonal
DOS(E_F): 7.17 states/eV per cell
Size of the total moment: 0.822 μB/cell
SG: No. 123
Calculated formation energy: 1.026 eV per atom

=====

KI: relaxed, PBE.

The structure in POSCAR format:
```
KI
1.0
0.000 3.985 3.985
3.985 0.000 3.985
3.985 3.985 0.000
K I
1 1
Cartesian
0.000 0.000 0.000
5.978 5.978 5.978
```

Crystal system: cubic
DOS(E_F): 0.00 states/eV per cell
Formation energy without anion corrections: -1390 meV/atom
Size of the total moment: 0.038 μB/cell
SG: No. 216

=====

> Number 2 is which compound?

LaCu2NiOs

=====

> Which of these has the lowest DOS(E_F)?

KI